No. 1
! CaPm2Te3, relaxed, DFT GGA-PBE; values from VASP
! Space group: Immm (71)
! Fermi-level density of states: 0.423 states/eV per atom
! Density: 6.232 g cm⁻³
! ΔE_f (raw): -1.475 eV/atom
&SYSTEM
  ibrav = 0, nat = 6, ntyp = 3
/
ATOMIC_SPECIES
Ca 40.08 Ca.upf
Pm 145.00 Pm.upf
Te 127.60 Te.upf
ATOMIC_POSITIONS crystal
Ca 0.0000 0.0000 0.0000
Pm 0.3323 0.3323 0.0000
Pm 0.6677 0.6677 0.0000
Te 0.1633 0.6633 0.5000
Te 0.5000 0.0000 0.5000
Te 0.8367 0.3367 0.5000
CELL_PARAMETERS angstrom
-2.2159 3.1592 6.7832
2.2159 -3.1592 6.7832
2.2159 3.1592 -6.7832

***

No. 2
! BaBe2Cd, relaxed, DFT GGA-PBE; values from VASP
! Space group: Cm (8)
! Fermi-level density of states: 0.612 states/eV per atom
! Density: 4.824 g cm⁻³
! Final energy: -2.37 eV per atom
&SYSTEM
  ibrav = 0, nat = 4, ntyp = 3
/
ATOMIC_SPECIES
Ba 137.33 Ba.upf
Be 9.01 Be.upf
Cd 112.41 Cd.upf
ATOMIC_POSITIONS crystal
Ba 0.0000 0.0000 0.0000
Be 0.1868 0.1868 0.5642
Be 0.5117 0.5117 0.5397
Cd 0.8136 0.8136 0.4440
CELL_PARAMETERS angstrom
3.6289 -2.0967 0.0000
3.6289 2.0967 0.0000
-2.3777 0.0000 6.0574

***

No. 3
! La6CoHg2Rh, relaxed, DFT GGA-PBE; values from VASP
! Space group: P1 (1)
! Fermi-level density of states: 1.048 states/eV per atom
! Density: 7.339 g cm⁻³
! Final energy: -4.83 eV per atom
&SYSTEM
  ibrav = 0, nat = 10, ntyp = 4
/
ATOMIC_SPECIES
La 138.91 La.upf
Co 58.93 Co.upf
Hg 200.59 Hg.upf
Rh 102.91 Rh.upf
ATOMIC_POSITIONS crystal
La 0.0000 0.0000 0.0000
La 0.0105 0.6016 0.6214
La 0.1145 0.5536 0.1574
La 0.4967 0.4869 0.9979
La 0.5146 0.1147 0.6242
La 0.8978 0.0494 0.4643
Co 0.0055 0.3008 0.8108
Hg 0.4865 0.0454 0.0441
Hg 0.5238 0.5555 0.5778
Rh 0.0057 0.8009 0.3110
CELL_PARAMETERS angstrom
7.6044 0.0000 0.0000
-3.7964 6.6127 0.0000
-3.7007 -2.2550 6.2837

***

Number 1: calculated volume 31.657 Å³/atom. Number 2: calculated volume 23.045 Å³/atom. Number 3: calculated volume 31.598 Å³/atom.